Entry 1:
An optimized crystal structure of Th3BePd12. Source: Alexandria via LeMat-Bulk, functional PBE.

Lattice parameters (Å, degrees): 4.190 4.190 16.023 90.00 90.00 90.00
Element x y z (fractional)
Pd 0.000 0.500 0.631
Pd 0.500 0.000 0.631
Pd 0.500 0.000 0.894
Pd 0.500 0.500 0.000
Pd 0.000 0.500 0.369
Pd 0.500 0.000 0.106
Pd 0.500 0.500 0.240
Pd 0.000 0.500 0.106
Pd 0.500 0.500 0.760
Pd 0.500 0.500 0.500
Pd 0.500 0.000 0.369
Pd 0.000 0.500 0.894
Th 0.000 0.000 0.231
Th 0.000 0.000 0.769
Th 0.000 0.000 0.500
Be 0.000 0.000 0.000

Summary:
Final energy ... -100.493 eV per cell
SG ... P4/mmm, No. 123

=====

Entry 2:
An optimized crystal structure of ThBePd2. Source: Alexandria via LeMat-Bulk, functional PBE.

Lattice parameters (Å, degrees): 4.124 3.968 9.138 102.54 90.00 90.00
Element x y z (fractional)
Th 0.750 0.107 0.214
Th 0.250 0.893 0.786
Pd 0.250 0.251 0.502
Pd 0.750 0.749 0.498
Pd 0.750 0.447 0.895
Pd 0.250 0.553 0.105
Be 0.750 0.316 0.631
Be 0.250 0.684 0.369

Summary:
Excess energy over the best structure of this formula in the dataset ... 0 meV/atom
SG ... Cmcm, No. 63

=====

Entry 3:
An optimized crystal structure of Ti2Be16Pd. Source: Alexandria via LeMat-Bulk, functional PBE.

Lattice parameters (Å, degrees): 5.642 5.642 5.642 83.14 83.14 83.14
Element x y z (fractional)
Be 0.003 0.003 0.494
Be 0.111 0.111 0.111
Be 0.998 0.701 0.298
Be 0.839 0.346 0.346
Be 0.298 0.701 0.998
Be 0.701 0.298 0.998
Be 0.164 0.651 0.651
Be 0.494 0.003 0.003
Be 0.298 0.998 0.701
Be 0.003 0.494 0.003
Be 0.998 0.298 0.701
Be 0.346 0.839 0.346
Be 0.346 0.346 0.839
Be 0.651 0.164 0.651
Be 0.651 0.651 0.164
Be 0.701 0.998 0.298
Pd 0.905 0.905 0.905
Ti 0.340 0.340 0.340
Ti 0.654 0.654 0.654

Summary:
Final energy ... -85.156 eV per cell
SG ... R3m, No. 160

=====

Entry 4:
An optimized crystal structure of TiBePd3. Source: Alexandria via LeMat-Bulk, functional PBE.

Lattice parameters (Å, degrees): 4.612 4.612 4.612 90.00 90.00 90.00
Element x y z (fractional)
Pd 0.000 0.500 0.000
Pd 0.000 0.000 0.500
Pd 0.500 0.000 0.000
Be 0.500 0.500 0.500
Ti 0.000 0.000 0.000

Summary:
Excess energy over the best structure of this formula in the dataset ... 1269 meV/atom
SG ... Pm-3m, No. 221

=====

Entry 5:
An optimized crystal structure of TiBe2Pd. Source: Alexandria via LeMat-Bulk, functional PBE.

Lattice parameters (Å, degrees): 2.838 2.838 6.026 90.00 90.00 90.00
Last column: magnetic moment on the atom in μB.
Element x y z (fractional)
Ti 0.500 0.500 0.500  0.16
Be 0.000 0.000 0.783  0.00
Be 0.000 0.000 0.217  0.00
Pd 0.500 0.500 0.000  0.00

Summary:
Final energy ... -21.800 eV per cell
SG ... P4/mmm, No. 123

=====

Entry 6:
An optimized crystal structure of TiBePd5. Source: Alexandria via LeMat-Bulk, functional PBE.

Lattice parameters (Å, degrees): 5.390 5.390 10.196 60.87 60.87 65.37
Element x y z (fractional)
Pd 0.089 0.911 0.250
Pd 0.911 0.089 0.750
Pd 0.612 0.882 0.236
Pd 0.388 0.118 0.764
Pd 0.437 0.295 0.981
Pd 0.295 0.437 0.481
Pd 0.118 0.388 0.264
Pd 0.705 0.563 0.519
Pd 0.563 0.705 0.019
Pd 0.882 0.612 0.736
Ti 0.331 0.669 0.750
Ti 0.669 0.331 0.250
Be 0.000 0.000 0.500
Be 0.000 0.000 0.000

Summary:
Excess energy over the best structure of this formula in the dataset ... 275 meV/atom
SG ... C2/c, No. 15

=====

Entry 7:
An optimized crystal structure of Ti3Be9Pd2. Source: Alexandria via LeMat-Bulk, functional PBE.

Lattice parameters (Å, degrees): 3.701 7.004 7.004 64.04 74.68 74.68
Element x y z (fractional)
Pd 0.500 0.307 0.693
Pd 0.500 0.693 0.307
Be 0.862 0.860 0.417
Be 0.000 0.500 0.500
Be 0.138 0.140 0.583
Be 0.862 0.417 0.860
Be 0.330 0.311 0.029
Be 0.670 0.689 0.971
Be 0.138 0.583 0.140
Be 0.330 0.029 0.311
Be 0.670 0.971 0.689
Ti 0.290 0.710 0.710
Ti 0.710 0.290 0.290
Ti 0.000 0.000 0.000

Summary:
Final energy ... -71.582 eV per cell
SG ... Immm, No. 71

=====

Entry 8:
An optimized crystal structure of Ti2Be2Pd. Source: Alexandria via LeMat-Bulk, functional PBE.

Lattice parameters (Å, degrees): 2.875 2.875 8.537 80.31 80.31 90.00
Last column: magnetic moment on the atom in μB.
Element x y z (fractional)
Ti 0.614 0.614 0.772  0.70
Ti 0.386 0.386 0.228  0.70
Be 0.750 0.250 0.500  0.02
Be 0.250 0.750 0.500  0.02
Pd 0.000 0.000 0.000  0.08

Summary:
Excess energy over the best structure of this formula in the dataset ... 432 meV/atom
SG ... I4/mmm, No. 139

=====

Entry 9:
An optimized crystal structure of TiBe2Pd. Source: Alexandria via LeMat-Bulk, functional PBE.

Lattice parameters (Å, degrees): 3.558 3.741 3.741 90.00 90.00 90.00
Element x y z (fractional)
Ti 0.500 0.000 0.000
Be 0.000 0.000 0.500
Be 0.000 0.500 0.000
Pd 0.500 0.500 0.500

Summary:
Final energy ... -21.096 eV per cell
SG ... P4/mmm, No. 123

=====

Entry 10:
An optimized crystal structure of TiBe2Pd. Source: Alexandria via LeMat-Bulk, functional PBE.

Lattice parameters (Å, degrees): 5.492 5.492 5.492 56.64 131.32 152.83
Element x y z (fractional)
Be 0.000 0.733 0.733
Be 0.000 0.267 0.267
Pd 0.000 0.500 0.500
Ti 0.000 0.000 0.000

Summary:
Final energy ... -19.235 eV per cell
SG ... Immm, No. 71

=====

Entry 11:
An optimized crystal structure of Ti3BePd6. Source: Alexandria via LeMat-Bulk, functional PBE.

Lattice parameters (Å, degrees): 6.748 6.902 6.837 90.00 78.23 90.00
Element x y z (fractional)
Pd 0.261 0.110 0.713
Pd 0.239 0.610 0.787
Pd 0.679 0.102 0.957
Pd 0.324 0.779 0.414
Pd 0.179 0.398 0.457
Pd 0.761 0.390 0.213
Pd 0.321 0.898 0.043
Pd 0.176 0.279 0.086
Pd 0.739 0.890 0.287
Pd 0.676 0.221 0.586
Pd 0.821 0.602 0.543
Pd 0.824 0.721 0.914
Ti 0.562 0.857 0.690
Ti 0.938 0.357 0.810
Ti 0.062 0.643 0.190
Ti 0.500 0.500 0.000
Ti 0.000 0.000 0.500
Ti 0.438 0.143 0.310
Be 0.500 0.500 0.500
Be 0.000 0.000 0.000

Summary:
Final energy ... -125.386 eV per cell
SG ... P2_1/c, No. 14

=====

- Which formula does entry 1 have?
  Th3BePd12